Density functional theory data (PBE) for a relaxed structure of LiEr6Tl5.

## Properties
As for the magnetization: 0.00 μB/f.u. For the energy above the most stable polymorph in this dataset, the calculation gives 0 meV/atom. As for the formation energy: -0.29 eV/atom. The volume is 315.6 Å³/f.u.

POSCAR file:
```
LiEr6Tl5
1.0
2.6485 -8.0181 0.0000
2.6485 8.0181 0.0000
0.0000 0.0000 7.4306
Li Er Tl
1 6 5
direct
0.0000 0.0000 0.0000
0.1684 0.8316 0.2457
0.1684 0.8316 0.7543
0.5000 0.5000 0.2552
0.5000 0.5000 0.7448
0.8316 0.1684 0.2457
0.8316 0.1684 0.7543
0.0000 0.0000 0.5000
0.3330 0.6670 0.5000
0.3451 0.6549 0.0000
0.6549 0.3451 0.0000
0.6670 0.3330 0.5000
```